A geometry-optimized Nd3TeRhCl structure. Source: the Alexandria database, functional PBE-GGA.

Unit cell a=4.1925 b=9.0288 c=9.9135 alpha=94.60 beta=90.00 gamma=90.00
Site moments in Bohr magnetons follow the coordinates.
Fractional coordinates of all 12 atoms:
Nd (0.7500, 0.8446, 0.1389)  0.00
Nd (0.2500, 0.1554, 0.8611)  0.00
Nd (0.2500, 0.6621, 0.4263)  0.24
Nd (0.7500, 0.3379, 0.5737)  0.24
Nd (0.7500, 0.3998, 0.1485)  0.00
Nd (0.2500, 0.6002, 0.8515)  0.00
Te (0.2500, 0.1225, 0.1818)  0.00
Te (0.7500, 0.8775, 0.8182)  0.00
Rh (0.2500, 0.6218, 0.1458)  0.01
Rh (0.7500, 0.3782, 0.8542)  0.01
Cl (0.2500, 0.1316, 0.5696)  0.01
Cl (0.7500, 0.8684, 0.4304)  0.01

ΔE_f (raw)   -1108 meV/atom
Crystal system   monoclinic
DOS(E_F)   0.423 states/eV per atom
Symmetry   No. 11
Calculated total energy   -5.549 eV/atom